# 1
Entry from the Alexandria database: a relaxed structure of LiBe2Sb (PBE).

## Properties
The total energy comes out at -3.12 eV per atom. The energy relative to the elements, uncorrected comes out at 249 meV/atom. The density of states at the Fermi level comes out at 1.62 states/eV/f.u.

Lattice parameters (Å, degrees): 3.8468 3.8468 3.7994 90.00 90.00 90.00
With the nearest neighbours (Å) after each atom.
Space group P4/mmm (No. 123)
Asymmetric unit:
Li (0.0000, 0.0000, 0.0000) x1  8 Be 2.70, 4 Sb 2.72
Be (0.0000, 0.5000, 0.5000) x2  4 Li 2.70, 4 Sb 2.70, 4 Be 2.72
Sb (0.5000, 0.5000, 0.0000) x1  8 Be 2.70, 4 Li 2.72


# 2
Entry from the Alexandria database: a relaxed structure of LiBeSb (PBE).

## Properties
The total energy comes out at -3.37 eV per atom. The energy relative to the elements, uncorrected comes out at -120 meV/atom. The density of states at the Fermi level comes out at 0.30 states/eV/f.u.

Lattice parameters (Å, degrees): 4.0986 4.0986 4.2111 90.00 90.00 120.00
With the nearest neighbours (Å) after each atom.
Space group P3m1 (No. 156)
Asymmetric unit:
Li (0.0000, 0.0000, 0.0000) x1  6 Be 3.16-3.18, 6 Sb 3.16-3.17
Be (0.3333, 0.6667, 0.4958) x1  3 Sb 2.37
Sb (0.6667, 0.3333, 0.4979) x1  3 Be 2.37


# 3
Entry from the Alexandria database: a relaxed structure of LiBe2Sb (PBE).

## Properties
The total energy comes out at -3.08 eV per atom. The energy relative to the elements, uncorrected comes out at 291 meV/atom. The density of states at the Fermi level comes out at 0.65 states/eV/f.u.

Lattice parameters (Å, degrees): 5.3727 5.5799 7.6662 90.00 90.00 90.00
With the nearest neighbours (Å) after each atom.
Space group Fmmm (No. 69)
Asymmetric unit:
Li (0.0000, 0.0000, 0.0000) x4  4 Sb 2.69-2.79, 8 Be 2.72
Be (0.2500, 0.2500, 0.2500) x8  4 Be 2.69-2.79, 4 Li 2.72, 4 Sb 2.72
Sb (0.0000, 0.0000, 0.5000) x4  4 Li 2.69-2.79, 8 Be 2.72


# 4
Entry from the Alexandria database: a relaxed structure of LiBeSb (PBE).

## Properties
The total energy comes out at -3.50 eV per atom. The energy relative to the elements, uncorrected comes out at -249 meV/atom.

Lattice parameters (Å, degrees): 4.1743 4.1743 6.7827 90.00 90.00 120.00
With the nearest neighbours (Å) after each atom.
Space group P6_3mc (No. 186)
Asymmetric unit:
Li (0.0000, 0.0000, 0.0000) x2  3 Be 2.61, 3 Sb 2.90
Be (0.3333, 0.6667, 0.3540) x2  4 Sb 2.54-2.60, 3 Li 2.61
Sb (0.3333, 0.6667, 0.7372) x2  4 Be 2.54-2.60


# 5
Entry from the Alexandria database: a relaxed structure of LiBe2Sb (PBE).

## Properties
The total energy comes out at -2.87 eV per atom. The energy relative to the elements, uncorrected comes out at 504 meV/atom. The density of states at the Fermi level comes out at 1.46 states/eV/f.u.

Lattice parameters (Å, degrees): 3.1563 3.1563 23.1279 90.00 90.00 120.00
With the nearest neighbours (Å) after each atom.
Space group R3m (No. 160, hexagonal axes)
Asymmetric unit:
Li (0.0000, 0.0000, 0.0000) x3  3 Be 2.75, 3 Sb 2.94
Be (0.0000, 0.0000, 0.4818) x3  3 Be 2.29
Be (0.0000, 0.0000, 0.7554) x3  3 Be 2.29
Sb (0.0000, 0.0000, 0.2337) x3  3 Be 2.68, 3 Li 2.94


# 6
Entry from the Alexandria database: a relaxed structure of LiBe2Sb (PBE).

## Properties
The total energy comes out at -3.03 eV per atom. The energy relative to the elements, uncorrected comes out at 347 meV/atom. The density of states at the Fermi level comes out at 0.70 states/eV/f.u.

Lattice parameters (Å, degrees): 8.4214 2.9525 4.8524 90.00 97.88 90.00
With the nearest neighbours (Å) after each atom.
Space group C2/m (No. 12)
Asymmetric unit:
Li (0.0000, 0.0000, 0.0000) x2  6 Be 2.43-2.58
Be (0.2436, 0.5000, 0.1769) x4  2 Be 2.28, 1 Li 2.43
Sb (0.0000, 0.5000, 0.5000) x2  6 Be 2.75-2.89, 4 Li 2.84, 2 Sb 2.95


# 7
Entry from the Alexandria database: a relaxed structure of LiBe2Sb (PBE).

## Properties
The total energy comes out at -2.93 eV per atom. The energy relative to the elements, uncorrected comes out at 441 meV/atom. The density of states at the Fermi level comes out at 1.09 states/eV/f.u.

Lattice parameters (Å, degrees): 4.3456 4.3456 16.8236 90.00 90.00 90.00
With the nearest neighbours (Å) after each atom.
Space group I4_1/amd (No. 141, origin choice 2)
Asymmetric unit:
Li (0.0000, 0.2500, 0.3750) x4  4 Sb 3.07, 8 Be 3.21
Be (0.0000, 0.0000, 0.0000) x8  2 Be 2.17, 2 Sb 2.37
Sb (0.0000, 0.2500, 0.8750) x4  4 Be 2.37


# 8
Entry from the Alexandria database: a relaxed structure of LiBe3Sb (PBE).

## Properties
As for the excess energy over the best structure of this formula in the dataset: 0 meV/atom. The total energy comes out at -2.48 eV per atom. The energy relative to the elements, uncorrected comes out at 962 meV/atom. The density of states at the Fermi level comes out at 1.62 states/eV/f.u.

Lattice parameters (Å, degrees): 4.1227 4.1227 4.1227 90.00 90.00 90.00
With the nearest neighbours (Å) after each atom.
Space group Pm-3m (No. 221)
Asymmetric unit:
Li (0.0000, 0.0000, 0.0000) x1  6 Be 2.06
Be (0.0000, 0.0000, 0.5000) x3  2 Li 2.06
Sb (0.5000, 0.5000, 0.5000) x1  12 Be 2.92